Below is Al2FeMo at its PBEsol-relaxed geometry, with properties calculated at the meta-GGA SCAN level.

Computed properties:
energy of formation from the pure elements = -0.18 eV per atom
electronic total energy = -17.311 eV per atom
polymorph energy (0 for the lowest one) = 0.061 eV/atom

abc: 3.679 3.679 4.821
angles: 112.43 112.43 90.00
Last column: magnetic moment on the atom in μB.
Fractional positions:
Mo1 0.250 0.750 0.500  0.24
Fe1 0.500 0.500 0.000  2.69
Al1 0.000 0.000 0.000  -0.01
Al2 0.750 0.250 0.500  -0.02